Entry 1:
Sn3PtAu2 | PBE | relaxed

```
Sn3PtAu2
1.0
3.711 2.143 5.693
-3.711 2.143 5.693
0.000 -4.285 5.693
Sn Pt Au
6 2 4
direct
0.095 0.750 0.405
0.250 0.595 0.905
0.405 0.095 0.750
0.595 0.905 0.250
0.750 0.405 0.095
0.905 0.250 0.595
0.000 0.000 0.000
0.500 0.500 0.500
0.169 0.169 0.169
0.331 0.331 0.331
0.669 0.669 0.669
0.831 0.831 0.831
```

The calculation puts the total energy at -4.39 eV per atom. The energy of formation comes out at -0.29 eV/atom. As for the space group: R-3c (167). Its density of states at the Fermi level is 0.373 states/eV/atom.

---

Entry 2:
SnPtAu | PBE | relaxed

```
SnPtAu
1.0
6.354 0.000 0.000
0.000 6.354 0.000
0.000 0.000 6.354
Sn Pt Au
4 4 4
direct
0.000 0.000 0.000
0.000 0.500 0.500
0.500 0.000 0.500
0.500 0.500 0.000
0.250 0.250 0.250
0.250 0.750 0.750
0.750 0.250 0.750
0.750 0.750 0.250
0.000 0.000 0.500
0.000 0.500 0.000
0.500 0.000 0.000
0.500 0.500 0.500
```

The calculation puts the total energy at -4.70 eV per atom. The energy of formation comes out at -0.26 eV/atom. The calculation puts the energy above the most stable polymorph in this dataset at 0 meV per atom. As for the space group: F-43m (216). Its density of states at the Fermi level is 0.563 states/eV/atom.

---

Entry 3:
SnPtAu14 | PBE | relaxed

```
SnPtAu14
1.0
9.721 0.000 0.000
0.000 2.875 5.205
0.000 -2.875 5.205
Sn Pt Au
1 1 14
direct
0.000 0.000 0.000
0.000 0.499 0.499
0.000 0.000 0.497
0.000 0.497 0.000
0.248 0.661 0.661
0.251 0.163 0.661
0.251 0.661 0.163
0.254 0.163 0.163
0.500 0.326 0.326
0.500 0.326 0.825
0.500 0.825 0.326
0.500 0.825 0.825
0.746 0.163 0.163
0.749 0.163 0.661
0.749 0.661 0.163
0.752 0.661 0.661
```

The calculation puts the total energy at -3.51 eV per atom. The energy of formation comes out at -0.01 eV/atom. As for the space group: Amm2 (38). Its density of states at the Fermi level is 0.304 states/eV/atom.

---

Entry 4:
SnPtAu3 | PBE | relaxed

```
SnPtAu3
1.0
5.084 0.000 0.000
0.000 5.084 0.000
0.000 0.000 5.084
Sn Pt Au
1 1 3
direct
0.000 0.000 0.000
0.500 0.500 0.500
0.000 0.500 0.500
0.500 0.000 0.500
0.500 0.500 0.000
```

The calculation puts the total energy at -3.44 eV per atom. The energy of formation comes out at 0.53 eV/atom. The calculation puts the energy above the most stable polymorph in this dataset at 0 meV per atom. As for the space group: Pm-3m (221). Its density of states at the Fermi level is 0.385 states/eV/atom.

---

Entry 5:
Sn3Pt12Au | PBE | relaxed

```
Sn3Pt12Au
1.0
4.046 0.000 0.000
0.000 4.046 0.000
0.000 0.000 16.222
Sn Pt Au
3 12 1
direct
0.000 0.000 0.000
0.000 0.000 0.256
0.000 0.000 0.744
0.000 0.500 0.125
0.000 0.500 0.375
0.000 0.500 0.625
0.000 0.500 0.875
0.500 0.000 0.125
0.500 0.000 0.375
0.500 0.000 0.625
0.500 0.000 0.875
0.500 0.500 0.000
0.500 0.500 0.248
0.500 0.500 0.500
0.500 0.500 0.752
0.000 0.000 0.500
```

The calculation puts the total energy at -5.76 eV per atom. The energy of formation comes out at -0.27 eV/atom. As for the space group: P4/mmm (123). Its density of states at the Fermi level is 1.094 states/eV/atom.

---

Entry 6:
Sn6PtAu3 | PBE | relaxed

```
Sn6PtAu3
1.0
7.162 0.000 0.000
0.000 6.778 0.000
-7.014 0.000 9.848
Sn Pt Au
12 2 6
direct
0.075 0.156 0.414
0.075 0.344 0.914
0.256 0.635 0.412
0.256 0.865 0.912
0.411 0.546 0.744
0.411 0.954 0.244
0.589 0.046 0.756
0.589 0.454 0.256
0.744 0.135 0.088
0.744 0.365 0.588
0.925 0.656 0.086
0.925 0.844 0.586
0.000 0.000 0.000
0.000 0.500 0.500
0.204 0.180 0.734
0.204 0.320 0.234
0.500 0.000 0.500
0.500 0.500 0.000
0.796 0.680 0.766
0.796 0.820 0.266
```

The calculation puts the total energy at -4.20 eV per atom. The energy of formation comes out at -0.21 eV/atom. As for the space group: P2_1/c (14). Its density of states at the Fermi level is 0.313 states/eV/atom.

---

Entry 7:
Sr2Sn4PtAu3 | PBE | relaxed

```
Sr2Sn4PtAu3
1.0
4.744 0.000 0.000
0.000 4.744 0.000
0.000 0.000 11.304
Sr Sn Pt Au
2 4 1 3
direct
0.000 0.500 0.236
0.500 0.000 0.764
0.000 0.000 0.500
0.000 0.500 0.880
0.500 0.000 0.120
0.500 0.500 0.500
0.500 0.500 0.000
0.000 0.000 0.000
0.000 0.500 0.641
0.500 0.000 0.359
```

The calculation puts the total energy at -4.12 eV per atom. The energy of formation comes out at -0.60 eV/atom. As for the space group: P-4m2 (115). Its density of states at the Fermi level is 0.576 states/eV/atom.

---

Entry 8:
Sr2SnPtAu6 | PBE | relaxed

```
Sr2SnPtAu6
1.0
0.000 5.189 5.189
5.189 0.000 5.189
5.189 5.189 0.000
Sr Sn Pt Au
2 1 1 6
direct
0.250 0.250 0.250
0.750 0.750 0.750
0.000 0.000 0.000
0.500 0.500 0.500
0.252 0.252 0.748
0.252 0.748 0.252
0.252 0.748 0.748
0.748 0.252 0.252
0.748 0.252 0.748
0.748 0.748 0.252
```

The calculation puts the total energy at -3.59 eV per atom. The energy of formation comes out at -0.28 eV/atom. As for the space group: Fm-3m (225). Its density of states at the Fermi level is 0.290 states/eV/atom.

---

Entry 9:
Sr2Sn3Pt4Au | PBE | relaxed

```
Sr2Sn3Pt4Au
1.0
4.693 0.000 0.000
0.000 4.693 0.000
0.000 0.000 10.654
Sr Sn Pt Au
2 3 4 1
direct
0.000 0.500 0.247
0.500 0.000 0.753
0.000 0.000 0.000
0.000 0.500 0.621
0.500 0.000 0.379
0.000 0.000 0.500
0.000 0.500 0.866
0.500 0.000 0.134
0.500 0.500 0.500
0.500 0.500 0.000
```

The calculation puts the total energy at -5.00 eV per atom. The energy of formation comes out at -0.72 eV/atom. As for the space group: P-4m2 (115). Its density of states at the Fermi level is 0.411 states/eV/atom.

---

Entry 10:
TbSnPtAu | PBE | relaxed

```
TbSnPtAu
1.0
6.947 0.000 0.000
0.000 6.947 0.000
0.000 0.000 6.947
Tb Sn Pt Au
4 4 4 4
direct
0.000 0.000 0.000
0.000 0.500 0.500
0.500 0.000 0.500
0.500 0.500 0.000
0.000 0.000 0.500
0.000 0.500 0.000
0.500 0.000 0.000
0.500 0.500 0.500
0.250 0.250 0.750
0.250 0.750 0.250
0.750 0.250 0.250
0.750 0.750 0.750
0.250 0.250 0.250
0.250 0.750 0.750
0.750 0.250 0.750
0.750 0.750 0.250
```

The calculation puts the total energy at -5.28 eV per atom. The energy of formation comes out at -0.79 eV/atom. As for the space group: F-43m (216). Its density of states at the Fermi level is 0.529 states/eV/atom.

---

Entry 11:
TcSnPt2Au | PBE | relaxed

```
TcSnPt2Au
1.0
5.036 0.000 0.000
0.000 5.036 0.000
0.000 0.000 4.916
Tc Sn Pt Au
1 1 2 1
direct
0.000 0.000 0.000
0.500 0.500 0.000
0.000 0.500 0.500
0.500 0.000 0.500
0.500 0.500 0.500
```

The calculation puts the total energy at -4.49 eV per atom. The energy of formation comes out at 1.46 eV/atom. As for the space group: P4/mmm (123). Its density of states at the Fermi level is 0.978 states/eV/atom.

---

Entry 12:
SnTe2PtAu | PBE | relaxed

```
SnTe2PtAu
1.0
5.307 0.000 0.000
0.000 5.307 0.000
0.000 0.000 5.122
Sn Te Pt Au
1 2 1 1
direct
0.000 0.000 0.000
0.000 0.500 0.500
0.500 0.000 0.500
0.500 0.500 0.500
0.500 0.500 0.000
```

The calculation puts the total energy at -3.71 eV per atom. As for the space group: P4/mmm (123). As for the formation energy (no corrections): 0.210 eV/atom. Its density of states at the Fermi level is 0.454 states/eV/atom.

---

So what do the calculations give for total magnetization? Going down the list: 0.0; 0.0; 0.0; 0.0; 0.0; 0.0; 0.0; 0.0; 0.0; 0.0; 3.8; 0.0 μB/f.u..